{"formula": "LiAsP3", "functional": "PBE", "state": "relaxed", "lattice": [[4.775, 0.000, 0.000], [0.000, 4.775, 0.000], [0.000, 0.000, 4.775]], "species": ["P", "P", "P", "As", "Li"], "fractional_positions": [[0.000, 0.500, 0.000], [0.000, 0.000, 0.500], [0.500, 0.000, 0.000], [0.000, 0.000, 0.000], [0.500, 0.500, 0.500]], "dos_ef_per_ev_cell": 4.1, "formation_energy_ev_per_atom": 0.7639, "magnetic_moment_mub_per_cell": 0.000, "crystal_system": "cubic", "rho_kg_m3": 2666, "space_group": "Pm-3m", "e_above_lowest_polymorph_mev_per_atom": 0, "e_tot_ev_per_atom": -3.7947}